[1]
The following is a GGA-PBE calculation of a relaxed MnFe2Sb crystal, from the Alexandria database.

abc: 3.6680 3.6680 9.3370
angles: 78.67 78.67 90.00
Last column: nearest neighbours and their distance in Å.
Fractional positions:
Mn: 0.2500 0.7500 0.5000  4 Fe 2.56, 4 Sb 2.59
Mn: 0.5000 0.5000 0.0000  4 Fe 2.56, 4 Sb 2.59
Fe: 0.6009 0.1250 0.2500  4 Fe 2.47-2.72, 2 Mn 2.56, 2 Sb 2.62
Fe: 0.1491 0.6250 0.2500  4 Fe 2.47-2.72, 2 Mn 2.56, 2 Sb 2.62
Fe: 0.8750 0.8509 0.7500  4 Fe 2.47-2.72, 2 Mn 2.56, 2 Sb 2.62
Fe: 0.3750 0.3991 0.7500  4 Fe 2.47-2.72, 2 Mn 2.56, 2 Sb 2.62
Sb: 0.0000 0.0000 0.0000  4 Mn 2.59, 4 Fe 2.62
Sb: 0.7500 0.2500 0.5000  4 Mn 2.59, 4 Fe 2.62

Computed properties:
E_form (uncorrected) (eV/atom): 0.642
Density of states at the Fermi level (states/eV/cell): 12.504
Space group: No. 122
Total moment (μB per formula unit): 4.9



[2]
The following is a GGA-PBE calculation of a relaxed Pr4Tm2Th crystal, from the Alexandria database.

abc: 6.8625 9.0880 9.0880
angles: 79.82 67.82 67.82
Last column: nearest neighbours and their distance in Å.
Fractional positions:
Pr: 0.8415 0.6563 0.6607  1 Tm 3.29, 2 Th 3.54
Pr: 0.8415 0.1607 0.1563  1 Tm 3.29, 2 Th 3.54
Pr: 0.1585 0.3437 0.3393  1 Tm 3.29, 2 Th 3.54
Pr: 0.1585 0.8393 0.8437  1 Tm 3.29, 2 Th 3.54
Pr: 0.7629 0.7629 0.2629  1 Pr 3.08, 1 Tm 3.15, 1 Th 3.20
Pr: 0.2112 0.7629 0.2629  1 Pr 3.08, 1 Tm 3.15, 1 Th 3.20
Pr: 0.7888 0.2371 0.7371  1 Pr 3.08, 1 Tm 3.15, 1 Th 3.20
Pr: 0.2371 0.2371 0.7371  1 Pr 3.08, 1 Tm 3.15, 1 Th 3.20
Tm: 0.5000 0.0000 0.0000  4 Pr 3.48
Tm: 0.2792 0.9708 0.4708  4 Pr 3.15-3.29, 2 Tm 3.50
Tm: 0.5000 0.5000 0.5000  4 Pr 3.48
Tm: 0.7208 0.0292 0.5292  4 Pr 3.15-3.29, 2 Tm 3.50
Th: 0.5000 0.5000 0.0000  6 Pr 3.20-3.54, 2 Th 3.43
Th: 0.0000 0.5000 0.0000  6 Pr 3.20-3.54, 2 Th 3.43

Computed properties:
ΔH_f (0 K) (meV/atom): 302
Relative energy among the computed polymorphs (eV/atom): 0.115
Density of states at the Fermi level (states/eV/cell): 25.269
Space group: No. 74
Total moment (μB per formula unit): 0.0



[3]
The following is a GGA-PBE calculation of a relaxed KPtO2 crystal, from the Alexandria database.

abc: 4.1703 4.1703 4.1703
angles: 60.00 60.00 60.00
Last column: nearest neighbours and their distance in Å.
Fractional positions:
O: 0.7500 0.7500 0.7500  4 Pt 2.55, 4 K 2.55
O: 0.2500 0.2500 0.2500  4 Pt 2.55, 4 K 2.55
Pt: 0.5000 0.5000 0.5000  8 O 2.55
K: 0.0000 0.0000 0.0000  8 O 2.55

Computed properties:
E_form (uncorrected) (eV/atom): 0.222
Density of states at the Fermi level (states/eV/cell): 3.752
Space group: No. 225
Total moment (μB per formula unit): 0.0



[4]
The following is a GGA-PBE calculation of a relaxed DyMgSb2 crystal, from the Alexandria database.

abc: 4.1086 4.9771 4.9771
angles: 90.00 90.00 90.00
Last column: nearest neighbours and their distance in Å.
Fractional positions:
Sb: 0.0000 0.0000 0.5000  4 Mg 3.23, 4 Dy 3.23, 4 Sb 3.52
Sb: 0.0000 0.5000 0.0000  4 Dy 3.23, 4 Mg 3.23, 4 Sb 3.52
Dy: 0.5000 0.5000 0.5000  8 Sb 3.23, 4 Mg 3.52
Mg: 0.5000 0.0000 0.0000  8 Sb 3.23, 4 Dy 3.52

Computed properties:
E_form (uncorrected) (eV/atom): -0.553
Relative energy among the computed polymorphs (eV/atom): 0.088
Density of states at the Fermi level (states/eV/cell): 2.041
Space group: No. 123
Total moment (μB per formula unit): 0.0



[5]
The following is a GGA-PBE calculation of a relaxed Li2SmCdHg4 crystal, from the Alexandria database.

abc: 4.7833 4.7833 9.5161
angles: 75.44 75.44 60.00
Last column: nearest neighbours and their distance in Å.
Fractional positions:
Hg: 0.1195 0.1195 0.6416  4 Li 2.82-3.13, 3 Cd 3.05
Hg: 0.3878 0.3878 0.8366  3 Li 3.02, 1 Cd 3.07, 3 Sm 3.14, 3 Hg 3.28
Hg: 0.6122 0.6122 0.1634  3 Li 3.02, 1 Cd 3.07, 3 Sm 3.14, 3 Hg 3.28
Hg: 0.8805 0.8805 0.3584  4 Li 2.82-3.13, 3 Cd 3.05
Sm: 0.0000 0.0000 0.0000  8 Hg 3.14-3.26
Li: 0.2341 0.2341 0.2976  7 Hg 2.82-3.13
Li: 0.7659 0.7659 0.7024  7 Hg 2.82-3.13
Cd: 0.5000 0.5000 0.5000  8 Hg 3.05-3.07, 6 Li 3.32

Computed properties:
ΔH_f (0 K) (meV/atom): -319
Density of states at the Fermi level (states/eV/cell): 3.580
Space group: No. 166
Total moment (μB per formula unit): 0.0



- density of states at the Fermi level of number 2 (Pr4Tm2Th)?
  25.269 states/eV/cell



- Which value of density of states at the Fermi level does entry 3 give?
  3.752 states/eV/cell



- Look up the total moment of the second one.
  0.0 μB per formula unit